# Pa3FeCo5

A relaxed structure of Pa3FeCo5 (PBE, Alexandria via LeMat-Bulk).

abc: 7.6447 7.6447 5.4350
angles: 90.00 90.00 120.00
Fractional coordinates of all 18 atoms:
1 Pa 0.0000 0.3312 0.2500
2 Pa 0.0000 0.6688 0.7500
3 Pa 0.3312 0.0000 0.2500
4 Pa 0.3312 0.3312 0.7500
5 Pa 0.6688 0.0000 0.7500
6 Pa 0.6688 0.6688 0.2500
7 Fe 0.0000 0.0000 0.0000
8 Fe 0.0000 0.0000 0.5000
9 Co 0.0000 0.3345 0.7500
10 Co 0.0000 0.6655 0.2500
11 Co 0.3333 0.6667 0.0000
12 Co 0.3333 0.6667 0.5000
13 Co 0.3345 0.0000 0.7500
14 Co 0.3345 0.3345 0.2500
15 Co 0.6655 0.0000 0.2500
16 Co 0.6655 0.6655 0.7500
17 Co 0.6667 0.3333 0.0000
18 Co 0.6667 0.3333 0.5000

Properties
**Crystal system**: hexagonal
**DFT total energy**: -8.28 eV per atom
**Energy of formation**: -2.01 eV per formula unit
**Magnetic moment**: 0.18 Bohr magnetons per cell

# Pa3FeCo

A relaxed structure of Pa3FeCo (PBE, Alexandria via LeMat-Bulk).

abc: 7.5136 3.5102 7.7896
angles: 90.00 105.98 90.00
Fractional coordinates of all 10 atoms:
1 Pa 0.0763 0.2500 0.2357
2 Pa 0.3099 0.2500 0.9781
3 Pa 0.3603 0.7500 0.6183
4 Pa 0.6397 0.2500 0.3817
5 Pa 0.6901 0.7500 0.0219
6 Pa 0.9237 0.7500 0.7643
7 Fe 0.3796 0.7500 0.2552
8 Fe 0.6204 0.2500 0.7448
9 Co 0.0929 0.2500 0.6098
10 Co 0.9071 0.7500 0.3902

Properties
**Crystal system**: monoclinic
**DFT total energy**: -9.00 eV per atom
**Energy of formation**: -0.95 eV per formula unit
**Magnetic moment**: 0.00 Bohr magnetons per cell

# PaFeCoSb

A relaxed structure of PaFeCoSb (PBE, Alexandria via LeMat-Bulk).

abc: 4.6135 4.6135 4.6135
angles: 60.00 60.00 60.00
Fractional coordinates of all 4 atoms:
1 Pa 0.0000 0.0000 0.0000
2 Fe 0.7500 0.7500 0.7500
3 Co 0.2500 0.2500 0.2500
4 Sb 0.5000 0.5000 0.5000

Properties
**Crystal system**: cubic
**DFT total energy**: -7.46 eV per atom
**Magnetic moment**: 2.62 Bohr magnetons per cell
**Energy relative to the elements, uncorrected**: -161 meV per atom

# Sc2Pa2FeCo2

A relaxed structure of Sc2Pa2FeCo2 (PBE, Alexandria via LeMat-Bulk).

abc: 6.6941 6.6941 6.8087
angles: 112.33 112.33 29.70
Fractional coordinates of all 7 atoms:
1 Sc 0.2125 0.2125 0.2880
2 Sc 0.7875 0.7875 0.7120
3 Pa 0.4527 0.4527 0.2193
4 Pa 0.5473 0.5473 0.7807
5 Fe 0.0000 0.0000 0.0000
6 Co 0.1089 0.1089 0.5689
7 Co 0.8911 0.8911 0.4311

Properties
**Crystal system**: monoclinic
**DFT total energy**: -7.98 eV per atom
**Energy of formation**: -1.52 eV per formula unit
**Magnetic moment**: 0.00 Bohr magnetons per cell

# PaFeCoSi3

A relaxed structure of PaFeCoSi3 (PBE, Alexandria via LeMat-Bulk).

abc: 6.3939 6.3939 5.6992
angles: 90.00 90.00 123.83
Fractional coordinates of all 12 atoms:
1 Pa 0.2168 0.7832 0.7500
2 Pa 0.7832 0.2168 0.2500
3 Fe 0.0149 0.9851 0.2500
4 Fe 0.9851 0.0149 0.7500
5 Co 0.3935 0.6065 0.2500
6 Co 0.6065 0.3935 0.7500
7 Si 0.2073 0.7927 0.2500
8 Si 0.2948 0.2948 0.0000
9 Si 0.2948 0.2948 0.5000
10 Si 0.7052 0.7052 0.0000
11 Si 0.7052 0.7052 0.5000
12 Si 0.7927 0.2073 0.7500

Properties
**Crystal system**: orthorhombic
**DFT total energy**: -7.18 eV per atom
**Magnetic moment**: 0.00 Bohr magnetons per cell
**Energy relative to the elements, uncorrected**: -290 meV per atom

# PaFeCoSi2

A relaxed structure of PaFeCoSi2 (PBE, Alexandria via LeMat-Bulk).

abc: 5.5160 5.5160 5.5160
angles: 138.22 138.22 60.56
Fractional coordinates of all 5 atoms:
1 Pa 0.0000 0.0000 0.0000
2 Fe 0.2500 0.7500 0.5000
3 Co 0.7500 0.2500 0.5000
4 Si 0.3714 0.3714 0.0000
5 Si 0.6286 0.6286 0.0000

Properties
**Crystal system**: tetragonal
**DFT total energy**: -7.91 eV per atom
**Magnetic moment**: 0.00 Bohr magnetons per cell
**Energy relative to the elements, uncorrected**: -725 meV per atom

# PaFeCo2Si2

A relaxed structure of PaFeCo2Si2 (PBE, Alexandria via LeMat-Bulk).

abc: 4.3202 4.3202 4.8611
angles: 90.00 90.00 90.00
Fractional coordinates of all 6 atoms:
1 Pa 0.0000 0.0000 0.0000
2 Fe 0.0000 0.0000 0.5000
3 Co 0.5000 0.5000 0.2435
4 Co 0.5000 0.5000 0.7565
5 Si 0.0000 0.5000 0.5000
6 Si 0.5000 0.0000 0.5000

Properties
**Crystal system**: tetragonal
**DFT total energy**: -7.30 eV per atom
**Magnetic moment**: 0.61 Bohr magnetons per cell
**Energy relative to the elements, uncorrected**: -132 meV per atom

# PaFe2CoSi2

A relaxed structure of PaFe2CoSi2 (PBE, Alexandria via LeMat-Bulk).

abc: 4.3273 4.3273 4.9121
angles: 90.00 90.00 90.00
Fractional coordinates of all 6 atoms:
1 Pa 0.0000 0.0000 0.0000
2 Fe 0.5000 0.5000 0.2352
3 Fe 0.5000 0.5000 0.7648
4 Co 0.0000 0.0000 0.5000
5 Si 0.0000 0.5000 0.5000
6 Si 0.5000 0.0000 0.5000

Properties
**Crystal system**: tetragonal
**DFT total energy**: -7.45 eV per atom
**Magnetic moment**: 2.48 Bohr magnetons per cell
**Energy relative to the elements, uncorrected**: -54 meV per atom